A relaxed structure of NdBe2InPd5. Source: Alexandria, functional GGA-PBE. Values from VASP.

Geometry as Quantum ESPRESSO input:
```
&SYSTEM
  ibrav = 0, nat = 9, ntyp = 4
/
ATOMIC_SPECIES
Nd 144.24 Nd.upf
Be 9.01 Be.upf
In 114.82 In.upf
Pd 106.42 Pd.upf
ATOMIC_POSITIONS crystal
Nd 0.000 0.000 0.000
Be 0.500 0.500 0.335
Be 0.500 0.500 0.665
In 0.000 0.000 0.500
Pd 0.000 0.500 0.273
Pd 0.000 0.500 0.727
Pd 0.500 0.000 0.273
Pd 0.500 0.000 0.727
Pd 0.500 0.500 0.000
CELL_PARAMETERS angstrom
4.397 0.000 0.000
0.000 4.397 0.000
0.000 0.000 7.653
```

Values from the calculation:
- raw total energy (eV for the cell shown) = -45.5
- total magnetization (μB per cell) = 0.0